1.
Entry from Alexandria: TcTeSe2 after structural relaxation (PBE).

```
16
Lattice="13.290 0.000 0.000 0.000 3.458 0.000 0.000 0.000 10.704" Properties=species:S:1:pos:R:3 pbc="T T T"
Se 1.514 0.865 9.725
Se 11.776 2.594 0.978
Se 11.331 0.865 8.687
Se 5.131 2.594 4.374
Se 8.159 0.865 6.330
Se 1.959 2.594 2.017
Se 8.604 2.594 3.335
Se 4.686 0.865 7.369
Tc 0.320 0.865 1.104
Tc 12.970 2.594 9.600
Tc 6.965 0.865 4.248
Tc 6.325 2.594 6.456
Te 6.905 2.594 1.366
Te 13.030 0.865 6.718
Te 6.385 0.865 9.338
Te 0.260 2.594 3.986
```

=====

2.
Entry from Alexandria: Cs2CSeCl6 after structural relaxation (PBE).

```
10
Lattice="7.050 0.000 0.000 0.000 7.050 0.000 3.525 3.525 5.271" Properties=species:S:1:pos:R:3 pbc="T T T"
Cl 7.050 7.050 2.991
Cl 5.251 5.251 0.000
Cl 3.525 3.525 2.279
Cl 5.251 1.798 0.000
Cl 1.798 1.798 0.000
Cl 1.798 5.251 0.000
Se 0.000 0.000 0.000
C 3.525 3.525 0.000
Cs 3.525 7.050 2.635
Cs 7.050 3.525 2.635
```

=====

3.
Entry from Alexandria: HfGaTeN2 after structural relaxation (PBE).

```
5
Lattice="-2.532 -2.326 -2.290 2.454 0.555 -3.277 3.142 -4.918 1.520" Properties=species:S:1:pos:R:3 pbc="T T T"
Ga 1.532 -3.344 -2.024
Hf 0.000 0.000 0.000
N 1.227 0.277 -1.638
N -1.266 -1.163 -1.145
Te 1.571 -2.459 0.760
```

=====

4.
Entry from Alexandria: ScS after structural relaxation (PBE).

```
8
Lattice="-2.971 -1.239 -1.236 1.696 -1.439 -2.635 1.527 -10.191 6.550" Properties=species:S:1:pos:R:3 pbc="T T T"
Sc 1.194 -3.025 0.164
Sc -0.377 -8.021 4.138
Sc 0.090 -6.192 1.184
Sc 1.491 -9.949 6.394
S -1.271 -2.054 0.304
S 0.597 -3.982 2.559
S 1.827 -7.250 2.879
S 0.723 -10.417 3.899
```

=====

5.
Entry from Alexandria: Y8CuNi2 after structural relaxation (PBE).

```
11
Lattice="-0.277 4.909 -3.362 -6.915 -2.682 -1.202 0.784 3.200 6.752" Properties=species:S:1:pos:R:3 pbc="T T T"
Y -0.448 3.744 0.265
Y -2.317 1.044 1.470
Y -2.475 2.195 -1.829
Y -1.206 6.733 1.662
Y -4.137 4.274 0.844
Y -3.955 3.046 4.192
Y -5.994 1.488 2.085
Y -5.472 3.474 -2.745
Cu -0.063 0.766 -0.506
Ni -1.770 3.763 2.671
Ni -4.685 1.536 -0.341
```

=====

6.
Entry from Alexandria: Sc3TaIn after structural relaxation (PBE).

```
5
Lattice="5.222 0.000 0.000 0.000 5.222 0.000 0.000 0.000 5.222" Properties=species:S:1:pos:R:3 pbc="T T T"
Sc 0.000 0.000 2.611
Sc 0.000 2.611 0.000
Sc 2.611 0.000 0.000
Ta 2.611 2.611 2.611
In 0.000 0.000 0.000
```

=====

7.
Entry from Alexandria: PuAl2Ga after structural relaxation (PBE).

```
4
Lattice="-0.218 -0.318 2.893 -2.226 -1.507 1.139 4.941 -9.524 0.797" Properties=species:S:1:pos:R:3 pbc="T T T"
Al 3.319 -7.011 0.951
Al -0.821 -4.338 3.878
Pu 0.000 0.000 0.000
Ga 1.249 -5.674 2.415
```

=====

8.
Entry from Alexandria: BiSbO3 after structural relaxation (PBE).

```
5
Lattice="-1.771 3.788 1.076 -3.936 -1.735 -0.369 0.108 -1.132 4.165" Properties=species:S:1:pos:R:3 pbc="T T T"
O -0.885 1.894 0.538
O 0.054 -0.566 2.082
O -1.968 -0.868 -0.185
Sb -2.799 0.460 2.436
Bi 0.000 0.000 0.000
```

=====

9.
Entry from Alexandria: LiCrPd6 after structural relaxation (PBE).

```
8
Lattice="-3.576 -1.343 0.775 2.123 -3.533 3.679 -0.565 3.797 3.973" Properties=species:S:1:pos:R:3 pbc="T T T"
Li -1.009 -0.539 4.213
Pd 0.103 1.976 3.900
Pd -0.726 -2.438 2.227
Pd 1.455 -1.712 3.752
Pd 0.387 0.066 1.898
Pd 1.172 0.199 5.753
Pd -2.071 1.227 2.374
Cr -1.788 -0.671 0.387
```

=====

10.
Entry from Alexandria: Co2TcIr6 after structural relaxation (PBE).

```
9
Lattice="-4.437 2.520 1.263 -3.033 -1.809 3.894 0.594 3.664 5.713" Properties=species:S:1:pos:R:3 pbc="T T T"
Ir -1.795 0.259 4.115
Ir -3.174 1.737 7.260
Ir -0.219 1.200 2.091
Ir -1.612 2.669 5.253
Ir -3.898 3.967 5.904
Ir -2.525 2.509 2.748
Co -4.323 1.203 4.289
Co -4.936 3.526 8.439
Tc -1.929 3.865 7.390
```

=====

11.
Entry from Alexandria: GeO after structural relaxation (PBE).

```
16
Lattice="10.273 0.000 0.000 0.000 10.273 0.000 0.000 0.000 3.002" Properties=species:S:1:pos:R:3 pbc="T T T"
Ge 0.417 2.883 1.501
Ge 7.390 0.417 1.501
Ge 8.019 4.720 0.000
Ge 5.553 8.019 0.000
Ge 4.720 2.254 0.000
Ge 2.254 5.553 0.000
Ge 9.856 7.390 1.501
Ge 2.883 9.856 1.501
O 9.047 6.396 0.000
O 6.362 9.014 1.501
O 3.911 1.259 1.501
O 3.877 9.047 0.000
O 1.226 3.877 0.000
O 6.396 1.226 0.000
O 9.014 3.911 1.501
O 1.259 6.362 1.501
```

=====

12.
Entry from Alexandria: Cd2ReSe2 after structural relaxation (PBE).

```
5
Lattice="3.588 0.000 0.000 0.000 3.588 0.000 1.794 1.794 8.975" Properties=species:S:1:pos:R:3 pbc="T T T"
Se 3.588 1.794 4.487
Se 1.794 3.588 4.487
Re 0.000 0.000 0.000
Cd 3.588 3.588 7.458
Cd 1.794 1.794 1.517
```

=====

13.
Entry from Alexandria: Tb4ErZn5 after structural relaxation (PBE).

```
10
Lattice="-0.618 -3.208 -1.449 3.484 -0.346 -0.721 2.534 -7.680 15.922" Properties=species:S:1:pos:R:3 pbc="T T T"
Er 0.000 0.000 0.000
Tb 1.522 -4.612 9.562
Tb 2.030 -6.154 12.757
Tb 0.504 -1.527 3.165
Tb 1.012 -3.068 6.360
Zn 3.721 -8.712 13.292
Zn 1.679 -2.522 0.459
Zn 2.700 -5.617 6.876
Zn 2.191 -4.076 3.680
Zn 3.208 -7.159 10.071
```

=====

14.
Entry from Alexandria: Sr2CaCrB after structural relaxation (PBE).

```
5
Lattice="5.884 0.000 0.000 0.000 4.366 0.000 0.000 0.000 5.884" Properties=species:S:1:pos:R:3 pbc="T T T"
Cr 0.000 2.183 0.000
Sr 2.942 0.000 0.000
Sr 0.000 0.000 2.942
B 0.000 0.000 0.000
Ca 2.942 2.183 2.942
```

=====

15.
Entry from Alexandria: La6TcRu2Cl3 after structural relaxation (PBE).

```
12
Lattice="-2.924 -4.233 -5.062 0.656 -2.400 6.775 -6.117 4.984 1.078" Properties=species:S:1:pos:R:3 pbc="T T T"
Cl -4.193 -0.825 1.396
Cl -5.397 -1.441 -2.587
Cl -2.988 -0.208 5.378
La -1.181 -0.231 2.582
La -5.474 2.218 1.312
La -7.204 -1.418 0.209
La -2.912 -3.868 1.479
La -6.017 -0.811 4.134
La -2.368 -0.839 -1.343
Tc 0.000 0.000 0.000
Ru -1.733 -3.623 -1.122
Ru -0.535 -3.010 2.836
```

=====

16.
Entry from Alexandria: Ge2BBr after structural relaxation (PBE).

```
8
Lattice="-5.899 -1.714 0.442 0.047 -1.689 -5.922 -1.677 -5.705 -1.588" Properties=species:S:1:pos:R:3 pbc="T T T"
B -2.926 -1.701 -2.740
B -2.278 -4.548 -5.125
Ge -3.467 -2.524 -0.908
Ge -1.761 -2.880 -3.996
Ge -3.448 -5.736 -3.882
Ge -6.384 -7.074 -5.350
Br -5.251 -4.560 -1.943
Br 0.000 0.000 0.000
```

=====

17.
Entry from Alexandria: RuRh2Cl after structural relaxation (PBE).

```
8
Lattice="-2.176 -4.414 -3.649 3.562 -4.100 2.835 -2.400 -5.026 2.368" Properties=species:S:1:pos:R:3 pbc="T T T"
Rh -0.545 -11.267 1.096
Rh 1.380 -4.319 1.950
Rh -1.540 -4.579 -1.377
Rh -1.322 -6.914 1.437
Cl 0.693 -4.257 -0.407
Cl 0.928 -6.691 2.398
Ru -1.941 -6.848 -0.844
Ru 0.000 0.000 0.000
```

=====

18.
Entry from Alexandria: Sr2CdRhPb after structural relaxation (PBE).

```
5
Lattice="5.796 0.000 0.000 0.000 5.796 0.000 0.000 0.000 5.199" Properties=species:S:1:pos:R:3 pbc="T T T"
Cd 2.898 2.898 2.600
Sr 0.000 2.898 0.000
Sr 2.898 0.000 0.000
Pb 0.000 0.000 2.600
Rh 0.000 0.000 0.000
```

=====

19.
Entry from Alexandria: CsTl4HgPb2 after structural relaxation (PBE).

```
8
Lattice="-3.168 -0.022 4.595 0.026 -4.436 3.386 6.863 2.737 8.133" Properties=species:S:1:pos:R:3 pbc="T T T"
Pb 1.142 -0.317 4.175
Pb 2.579 -1.404 11.939
Tl -0.439 -2.088 6.466
Tl 0.049 -2.755 10.189
Tl 4.160 0.367 9.648
Tl 3.672 1.033 5.925
Hg 1.860 -0.861 8.057
Cs 0.000 0.000 0.000
```

=====

20.
Entry from Alexandria: Cs2Tl3Sn2 after structural relaxation (PBE).

```
7
Lattice="-3.484 2.897 -1.446 -2.185 -7.298 -1.534 -0.858 3.351 8.781" Properties=species:S:1:pos:R:3 pbc="T T T"
Sn -1.365 -0.999 1.288
Sn -5.162 -0.052 4.512
Cs -4.856 -2.114 -0.356
Cs -1.671 1.063 6.157
Tl -3.201 1.310 2.514
Tl -3.327 -2.361 3.286
Tl -1.742 1.448 -0.723
```

=====

| no. | DFT total energy (eV per cell) |
| --- | --- |
| 1 | -84.02 |
| 2 | -29.60 |
| 3 | -31.60 |
| 4 | -55.89 |
| 5 | -68.07 |
| 6 | -27.93 |
| 7 | -23.94 |
| 8 | -24.77 |
| 9 | -43.98 |
| 10 | -72.89 |
| 11 | -94.92 |
| 12 | -17.03 |
| 13 | -32.83 |
| 14 | -19.40 |
| 15 | -74.61 |
| 16 | -31.72 |
| 17 | -45.09 |
| 18 | -16.70 |
| 19 | -18.31 |
| 20 | -17.48 |